Compound: BaCrSe4
Source: Alexandria
Functional: GGA-PBE
Structure: relaxed

Calculated values
Electronic total energy ... -4.239 eV per atom
Energy relative to the elements, uncorrected ... 0.8 kJ/mol of atoms

a b c (Å): 8.479 8.479 8.479
angles (deg): 90.00 90.00 90.00
Space group F-43m (No. 216)
One atom of each set of equivalent atoms:
Ba: 0.000 0.000 0.000 x4
Cr: 0.250 0.250 0.750 x4
Se: 0.124 0.124 0.376 x16